# HoLuCuHg GGA-PBE optimized geometry
# Formation energy = -33.1 kJ/mol of atoms
# Raw total energy = -14.9 eV/f.u.
data_HoLuCuHg
_cell_length_a 5.044
_cell_length_b 5.044
_cell_length_c 5.044
_cell_angle_alpha 60.00
_cell_angle_beta 60.00
_cell_angle_gamma 60.00
_symmetry_space_group_name_H-M 'P 1'
_symmetry_Int_Tables_number 1
loop_
_symmetry_equiv_pos_as_xyz
'x,y,z'
loop_
_atom_site_label
_atom_site_fract_x
_atom_site_fract_y
_atom_site_fract_z
Ho1 0.000 0.000 0.000
Lu1 0.500 0.500 0.500
Cu1 0.750 0.750 0.750
Hg1 0.250 0.250 0.250

---

# BaReRh2 GGA-PBE optimized geometry
# Formation energy = 106.6 kJ/mol of atoms
# Raw total energy = -24.7 eV/f.u.
# Distance to the lowest polymorph of the same formula = 934.1 meV per atom
data_BaReRh2
_cell_length_a 2.952
_cell_length_b 4.824
_cell_length_c 5.507
_cell_angle_alpha 90.00
_cell_angle_beta 90.00
_cell_angle_gamma 90.00
_symmetry_space_group_name_H-M 'P 1'
_symmetry_Int_Tables_number 1
loop_
_symmetry_equiv_pos_as_xyz
'x,y,z'
loop_
_atom_site_label
_atom_site_fract_x
_atom_site_fract_y
_atom_site_fract_z
Ba1 0.000 0.000 0.000
Re1 0.500 0.000 0.500
Rh1 0.000 0.500 0.500
Rh2 0.500 0.500 0.000

---

Among the records above, which one has the lowest raw total energy? BaReRh2

---

The highest formation energy belongs to which entry? BaReRh2

---

Please write out number 2 again, unchanged.
# BaReRh2 GGA-PBE optimized geometry
# Formation energy = 106.6 kJ/mol of atoms
# Raw total energy = -24.7 eV/f.u.
# Distance to the lowest polymorph of the same formula = 934.1 meV per atom
data_BaReRh2
_cell_length_a 2.952
_cell_length_b 4.824
_cell_length_c 5.507
_cell_angle_alpha 90.00
_cell_angle_beta 90.00
_cell_angle_gamma 90.00
_symmetry_space_group_name_H-M 'P 1'
_symmetry_Int_Tables_number 1
loop_
_symmetry_equiv_pos_as_xyz
'x,y,z'
loop_
_atom_site_label
_atom_site_fract_x
_atom_site_fract_y
_atom_site_fract_z
Ba1 0.000 0.000 0.000
Re1 0.500 0.000 0.500
Rh1 0.000 0.500 0.500
Rh2 0.500 0.500 0.000

---

raw total energy of number 2 (BaReRh2)? -24.7 eV/f.u.